Al3Ag2: relaxed, PBE.

Results
The calculation puts the uncorrected energy at -34.05 eV per cell. The total magnetization is 0.00 Bohr magnetons per cell. Its space group is No. 1. As for the calculated formation energy: -0.019 eV per atom.

Cell lengths 4.9713, 7.6191, 5.0354 Å; angles 97.70, 71.93, 110.71 degrees
Fractional coordinates of all 10 atoms:
Ag  0.9973  0.9875  0.0001
Ag  0.1050  0.2080  0.5012
Ag  0.2040  0.4114  0.0048
Ag  0.4940  0.9927  0.4965
Al  0.2995  0.5999  0.5000
Al  0.4031  0.7991  0.9996
Al  0.6023  0.2007  0.9957
Al  0.6994  0.4038  0.5006
Al  0.7987  0.5969  0.0002
Al  0.8966  0.7999  0.5014